Here is a geometry-optimized BTeO2F structure from the Alexandria database. Energies are from PBE-GGA.

POSCAR file:
```
BTeO2F
1.0
3.5497 0.0000 0.0000
0.0000 3.5497 0.0000
0.0000 0.0000 4.0042
B Te O F
1 1 2 1
direct
0.0000 0.0000 0.0000
0.5000 0.5000 0.5000
0.0000 0.5000 0.0000
0.5000 0.0000 0.0000
0.0000 0.0000 0.5000
```

Values from the calculation:
As for the density of states at the Fermi level: 0.372 states/eV per atom. The uncorrected formation energy is -0.247 eV/atom. The space group is No. 123.

Here is a geometry-optimized Pr12AlGa6 structure from the Alexandria database. Energies are from PBE-GGA.

POSCAR file:
```
Pr12AlGa6
1.0
7.3192 4.2257 3.1457
-7.3192 4.2257 3.1457
0.0000 -8.4515 3.1457
Pr Al Ga
12 1 6
direct
0.0049 0.1492 0.6994
0.1302 0.3645 0.4609
0.1492 0.6994 0.0049
0.3006 0.9951 0.8508
0.3645 0.4609 0.1302
0.4609 0.1302 0.3645
0.5391 0.8698 0.6355
0.6355 0.5391 0.8698
0.6994 0.0049 0.1492
0.8508 0.3006 0.9951
0.8698 0.6355 0.5391
0.9951 0.8508 0.3006
0.0000 0.0000 0.0000
0.1792 0.6296 0.3249
0.3249 0.1792 0.6296
0.3704 0.6751 0.8208
0.6296 0.3249 0.1792
0.6751 0.8208 0.3704
0.8208 0.3704 0.6751
```

Values from the calculation:
As for the density of states at the Fermi level: 1.025 states/eV per atom. The space group is No. 148.

| no. | energy (eV per atom) | total magnetization (μB/atom) |
| --- | --- | --- |
| 1 | -4.57 | 0.000 |
| 2 | -4.38 | 0.000 |